Entry 1:
{
  "formula": "TlSn2Au2",
  "functional": "GGA-PBE",
  "state": "relaxed",
  "lattice_angstrom": [[8.4252, 0.0000, 0.0000], [0.0000, 8.4252, 0.0000], [0.0000, 0.0000, 3.4311]],
  "species": ["Tl", "Tl", "Sn", "Sn", "Sn", "Sn", "Au", "Au", "Au", "Au"],
  "frac_coords": [[0.0000, 0.0000, 0.0000], [0.5000, 0.5000, 0.0000], [0.1478, 0.3522, 0.5000], [0.3522, 0.8522, 0.5000], [0.6478, 0.1478, 0.5000], [0.8522, 0.6478, 0.5000], [0.1477, 0.6477, 0.0000], [0.3523, 0.1477, 0.0000], [0.6477, 0.8523, 0.0000], [0.8523, 0.3523, 0.0000]],
  "spacegroup": "P4/mbm",
  "e_form_ev_per_fu": -0.3,
  "dos_ef_per_ev_fu": 2.27,
  "vol_a3_per_atom": 24.36,
  "rho_g_cm3": 11.396,
  "polymorph_energy_ev_per_atom": 0.078
}

---

Entry 2:
{
  "formula": "TlSn2Au2",
  "functional": "GGA-PBE",
  "state": "relaxed",
  "lattice_angstrom": [[4.7830, 0.0000, 0.0000], [0.0000, 4.7830, 0.0000], [0.0000, 0.0000, 11.7461]],
  "species": ["Tl", "Tl", "Sn", "Sn", "Sn", "Sn", "Au", "Au", "Au", "Au"],
  "frac_coords": [[0.0000, 0.0000, 0.0000], [0.5000, 0.5000, 0.5000], [0.0000, 0.0000, 0.3714], [0.0000, 0.0000, 0.6286], [0.5000, 0.5000, 0.1286], [0.5000, 0.5000, 0.8714], [0.0000, 0.5000, 0.2500], [0.0000, 0.5000, 0.7500], [0.5000, 0.0000, 0.2500], [0.5000, 0.0000, 0.7500]],
  "spacegroup": "I4/mmm",
  "e_form_ev_per_fu": -0.4,
  "dos_ef_per_ev_fu": 1.95,
  "vol_a3_per_atom": 26.87,
  "rho_g_cm3": 10.329,
  "polymorph_energy_ev_per_atom": 0.060
}

---

Entry 3:
{
  "formula": "TlSn2Au",
  "functional": "GGA-PBE",
  "state": "relaxed",
  "lattice_angstrom": [[3.3959, 0.0000, 0.0000], [-1.6979, 2.9409, 0.0000], [0.0000, 0.0000, 32.6149]],
  "species": ["Tl", "Tl", "Tl", "Sn", "Sn", "Sn", "Sn", "Sn", "Sn", "Au", "Au", "Au"],
  "frac_coords": [[0.0000, 0.0000, 0.0000], [0.3333, 0.6667, 0.6667], [0.6667, 0.3333, 0.3333], [0.0000, 0.0000, 0.1002], [0.0000, 0.0000, 0.8998], [0.3333, 0.6667, 0.5664], [0.3333, 0.6667, 0.7669], [0.6667, 0.3333, 0.2331], [0.6667, 0.3333, 0.4336], [0.0000, 0.0000, 0.5000], [0.3333, 0.6667, 0.1667], [0.6667, 0.3333, 0.8333]],
  "spacegroup": "R-3m",
  "e_form_ev_per_fu": 0.0,
  "dos_ef_per_ev_fu": 2.50,
  "vol_a3_per_atom": 27.14,
  "rho_g_cm3": 9.769,
  "polymorph_energy_ev_per_atom": 0.115
}

---

Entry 4:
{
  "formula": "TlSn6Au4",
  "functional": "GGA-PBE",
  "state": "relaxed",
  "lattice_angstrom": [[5.0745, -5.3468, 0.0000], [5.0745, 5.3468, 0.0000], [-5.0474, 0.0000, 5.3809]],
  "species": ["Tl", "Sn", "Sn", "Sn", "Sn", "Sn", "Sn", "Au", "Au", "Au", "Au"],
  "frac_coords": [[0.0000, 0.0000, 0.0000], [0.0003, 0.5001, 0.4972], [0.1940, 0.1940, 0.7173], [0.4791, 0.4791, 0.2849], [0.5001, 0.0003, 0.4972], [0.5242, 0.8078, 0.0006], [0.8078, 0.5242, 0.0006], [0.1653, 0.6306, 0.9982], [0.3712, 0.3712, 0.5359], [0.6306, 0.1653, 0.9982], [0.8371, 0.8371, 0.4662]],
  "spacegroup": "Cm",
  "e_form_ev_per_fu": -1.0,
  "dos_ef_per_ev_fu": 3.43,
  "vol_a3_per_atom": 26.54,
  "rho_g_cm3": 9.693
}

---

Entry 5:
{
  "formula": "TlSnAu3",
  "functional": "GGA-PBE",
  "state": "relaxed",
  "lattice_angstrom": [[8.4978, 0.0000, 0.0000], [0.0000, 3.8512, 0.0000], [0.0000, 0.0000, 14.5009]],
  "species": ["Tl", "Tl", "Tl", "Tl", "Sn", "Sn", "Sn", "Sn", "Au", "Au", "Au", "Au", "Au", "Au", "Au", "Au", "Au", "Au", "Au", "Au"],
  "frac_coords": [[0.1924, 0.2500, 0.0005], [0.3076, 0.7500, 0.5005], [0.6924, 0.2500, 0.4995], [0.8076, 0.7500, 0.9995], [0.1102, 0.2500, 0.3103], [0.3898, 0.7500, 0.8103], [0.6102, 0.2500, 0.1897], [0.8898, 0.7500, 0.6897], [0.0292, 0.2500, 0.5735], [0.0751, 0.7500, 0.8548], [0.1836, 0.7500, 0.1710], [0.3164, 0.2500, 0.6710], [0.4249, 0.2500, 0.3548], [0.4708, 0.7500, 0.0735], [0.5292, 0.2500, 0.9265], [0.5751, 0.7500, 0.6452], [0.6836, 0.7500, 0.3290], [0.8164, 0.2500, 0.8290], [0.9249, 0.2500, 0.1452], [0.9708, 0.7500, 0.4265]],
  "spacegroup": "Pnma",
  "e_form_ev_per_fu": -0.1,
  "dos_ef_per_ev_fu": 1.63,
  "vol_a3_per_atom": 23.73,
  "rho_g_cm3": 12.793,
  "polymorph_energy_ev_per_atom": 0.000
}

---

Entry 6:
{
  "formula": "Tl4Sn4Au",
  "functional": "GGA-PBE",
  "state": "relaxed",
  "lattice_angstrom": [[9.1029, 0.0000, 0.0000], [0.0000, 9.1029, 0.0000], [0.0000, 0.0000, 6.4265]],
  "species": ["Tl", "Tl", "Tl", "Tl", "Tl", "Tl", "Tl", "Tl", "Sn", "Sn", "Sn", "Sn", "Sn", "Sn", "Sn", "Sn", "Au", "Au"],
  "frac_coords": [[0.0689, 0.8195, 0.1047], [0.1805, 0.5689, 0.6047], [0.3195, 0.9311, 0.6047], [0.4311, 0.6805, 0.1047], [0.5689, 0.3195, 0.8953], [0.6805, 0.0689, 0.3953], [0.8195, 0.4311, 0.3953], [0.9311, 0.1805, 0.8953], [0.0733, 0.1712, 0.3968], [0.1712, 0.4267, 0.1032], [0.3288, 0.0733, 0.1032], [0.4267, 0.3288, 0.3968], [0.5733, 0.6712, 0.6032], [0.6712, 0.9267, 0.8968], [0.8288, 0.5733, 0.8968], [0.9267, 0.8288, 0.6032], [0.2500, 0.2500, 0.7500], [0.7500, 0.7500, 0.2500]],
  "spacegroup": "P4_2/n",
  "e_form_ev_per_fu": -0.2,
  "dos_ef_per_ev_fu": 3.68,
  "vol_a3_per_atom": 29.58,
  "rho_g_cm3": 9.288
}

---

Please write out number 3 again, unchanged.
{
  "formula": "TlSn2Au",
  "functional": "GGA-PBE",
  "state": "relaxed",
  "lattice_angstrom": [[3.3959, 0.0000, 0.0000], [-1.6979, 2.9409, 0.0000], [0.0000, 0.0000, 32.6149]],
  "species": ["Tl", "Tl", "Tl", "Sn", "Sn", "Sn", "Sn", "Sn", "Sn", "Au", "Au", "Au"],
  "frac_coords": [[0.0000, 0.0000, 0.0000], [0.3333, 0.6667, 0.6667], [0.6667, 0.3333, 0.3333], [0.0000, 0.0000, 0.1002], [0.0000, 0.0000, 0.8998], [0.3333, 0.6667, 0.5664], [0.3333, 0.6667, 0.7669], [0.6667, 0.3333, 0.2331], [0.6667, 0.3333, 0.4336], [0.0000, 0.0000, 0.5000], [0.3333, 0.6667, 0.1667], [0.6667, 0.3333, 0.8333]],
  "spacegroup": "R-3m",
  "e_form_ev_per_fu": 0.0,
  "dos_ef_per_ev_fu": 2.50,
  "vol_a3_per_atom": 27.14,
  "rho_g_cm3": 9.769,
  "polymorph_energy_ev_per_atom": 0.115
}